Record 1
Computed, not measured: a geometry-optimized BaCoCu structure at the PBE level of DFT.

Cell lengths 4.206, 4.206, 4.713 Å; angles 90.00, 90.00, 120.00 degrees
Fractional coordinates of all 3 atoms:
Co  0.667  0.333  0.500
Ba  0.000  0.000  0.000
Cu  0.333  0.667  0.500

ΔE to the lowest computed polymorph   0 meV/atom

Record 2
Computed, not measured: a geometry-optimized BaCoCu2 structure at the PBE level of DFT.

Cell lengths 4.239, 4.239, 6.003 Å; angles 69.25, 69.25, 59.99 degrees
Fractional coordinates of all 4 atoms:
Ba  0.500  0.500  0.501
Cu  0.316  0.316  0.053
Cu  0.003  0.003  0.991
Co  0.682  0.682  0.955

ΔE to the lowest computed polymorph   0 meV/atom

Record 3
Computed, not measured: a geometry-optimized BaCoCu2 structure at the PBE level of DFT.

Cell lengths 5.195, 5.195, 5.195 Å; angles 132.24, 111.81, 87.50 degrees
Fractional coordinates of all 4 atoms:
Cu  0.086  0.086  0.000
Cu  0.414  0.414  0.000
Co  0.250  0.750  0.500
Ba  0.750  0.250  0.500

ΔE to the lowest computed polymorph   350 meV/atom

Record 4
Computed, not measured: a geometry-optimized BaCo2Cu structure at the PBE level of DFT.

Cell lengths 5.201, 5.201, 5.201 Å; angles 135.25, 112.32, 84.84 degrees
Fractional coordinates of all 4 atoms:
Co  0.768  0.268  0.500
Co  0.907  0.907  0.000
Ba  0.247  0.747  0.500
Cu  0.579  0.579  0.000

Taking the records one at a time from the top gives density of states at the Fermi level values of 6.04, 4.34, 3.70, 5.43 states/eV/f.u..
Taking the records one at a time from the top gives V values of 72.2, 85.2, 91.9, 88.1 Å³ per cell.
Taking the records one at a time from the top gives energy relative to the elements values of 0.355, 0.149, 0.499, 0.638 eV per atom.